(1)
Here is an optimized crystal structure of Al2PbAu from Alexandria via LeMat-Bulk. Energies are from GGA-PBE.

extended XYZ file:
```
4
Lattice="1.775 1.025 7.959 -1.775 1.025 7.959 0.000 -2.050 7.959" Properties=species:S:1:pos:R:3 pbc="T T T"
Al 0.000 0.000 5.653
Al 0.000 0.000 18.223
Pb 0.000 0.000 0.000
Au 0.000 0.000 11.938
```

**Formation energy from the elements**: -33.8 meV per atom
**Density of states at the Fermi level**: 1.849 states/eV/cell
**Mass density**: 8.755 g/cm3
**Space-group type**: R-3m

---

(2)
Here is an optimized crystal structure of ZrCuGe2 from Alexandria via LeMat-Bulk. Energies are from GGA-PBE.

extended XYZ file:
```
4
Lattice="0.000 3.269 3.269 3.269 0.000 3.269 3.269 3.269 0.000" Properties=species:S:1:pos:R:3 pbc="T T T"
Zr 0.000 0.000 0.000
Cu 3.269 3.269 3.269
Ge 1.635 1.635 1.635
Ge 4.904 4.904 4.904
```

**Formation energy from the elements**: -0.8 meV per atom
**Density of states at the Fermi level**: 5.074 states/eV/cell
**Mass density**: 7.131 g/cm3
**Space-group type**: Fm-3m

---

(3)
Here is an optimized crystal structure of YCdP2 from Alexandria via LeMat-Bulk. Energies are from GGA-PBE.

extended XYZ file:
```
4
Lattice="3.762 0.000 0.000 0.000 3.837 0.000 -0.021 0.000 6.308" Properties=species:S:1:pos:R:3 pbc="T T T"
Y 0.000 0.000 0.000
Cd -0.010 0.000 3.154
P 1.861 1.918 5.189
P 1.880 1.918 1.118
```

**Formation energy from the elements**: -519.3 meV per atom
**Density of states at the Fermi level**: 2.025 states/eV/cell
**Mass density**: 4.801 g/cm3
**Space-group type**: P2/m

---

(4)
Here is an optimized crystal structure of PaCuPt2 from Alexandria via LeMat-Bulk. Energies are from GGA-PBE.

extended XYZ file:
```
4
Lattice="4.493 0.000 0.000 0.000 4.493 0.000 0.000 0.000 3.616" Properties=species:S:1:pos:R:3 pbc="T T T"
Pa 0.000 0.000 0.000
Cu 2.246 2.246 0.000
Pt 0.000 2.246 1.808
Pt 2.246 0.000 1.808
```

**Formation energy from the elements**: -528.9 meV per atom
**Density of states at the Fermi level**: 4.678 states/eV/cell
**Mass density**: 15.578 g/cm3
**Space-group type**: P4/mmm
**Offset from the most stable computed form**: 220.5 meV/atom